Density functional theory data (PBE) for a relaxed Pa2GaTc crystal.

POSCAR file:
```
Pa2GaTc
1.0
4.4091 -3.3669 0.0000
4.4091 3.3669 0.0000
0.0000 0.0000 5.5387
Pa Ga Tc
4 2 2
Cartesian
1.7877 1.0774 1.3847
1.7877 -1.0774 4.1541
7.0305 1.0774 1.3847
7.0305 -1.0774 4.1541
4.4091 0.0000 0.0000
4.4091 0.0000 2.7694
4.4091 2.4855 1.3847
4.4091 -2.4855 4.1541
```

Summary:
Raw total energy, eV per formula unit: -33.7
SG: Cmcm (63)
D(E_F), states/eV/f.u.: 6.541
Relative energy among the computed polymorphs, eV per formula unit: 0.000
ΔH_f (0 K), eV/atom: -0.3259

***

Density functional theory data (PBE) for a relaxed Pa4GaTc2 crystal.

POSCAR file:
```
Pa4GaTc2
1.0
-4.4290 4.4290 4.0052
4.4290 -4.4290 4.0052
4.4290 4.4290 -4.0052
Pa Ga Tc
8 2 4
Cartesian
5.0039 1.5785 -0.5616
2.8505 3.8541 -2.5642
1.5785 0.5749 1.4410
1.5785 3.8541 0.5616
2.8505 0.5749 4.5669
5.0039 2.8505 2.5642
-0.5749 2.8505 3.4436
-0.5749 1.5785 6.5695
4.4290 0.0000 2.0026
0.0000 0.0000 4.0052
2.2145 1.3267 -1.0013
3.1023 -2.2145 5.0065
2.2145 3.1023 3.0039
1.3267 6.6435 1.0013
```

Summary:
Raw total energy, eV per formula unit: -62.6
SG: I-42d (122)
D(E_F), states/eV/f.u.: 10.944
ΔH_f (0 K), eV/atom: -0.1278

***

Density functional theory data (PBE) for a relaxed PaGaTc2 crystal.

POSCAR file:
```
PaGaTc2
1.0
0.0000 3.2604 3.2604
3.2604 0.0000 3.2604
3.2604 3.2604 0.0000
Pa Ga Tc
1 1 2
Cartesian
0.0000 0.0000 0.0000
3.2604 3.2604 3.2604
1.6302 1.6302 1.6302
4.8905 4.8905 4.8905
```

Summary:
Raw total energy, eV per formula unit: -34.3
SG: Fm-3m (225)
D(E_F), states/eV/f.u.: 6.048
Relative energy among the computed polymorphs, eV per formula unit: 0.339
ΔH_f (0 K), eV/atom: -0.2572

***

Which of these has the lowest raw total energy?
Pa4GaTc2

***

Which value of ΔH_f (0 K) does entry 2 give?
-0.1278 eV/atom

***

Look up the ΔH_f (0 K) of the second one.
-0.1278 eV/atom

***

Among the records above, which one has the lowest D(E_F)?
PaGaTc2